{"formula": "KRh3Cl", "functional": "PBE", "state": "relaxed", "n_ef_per_ev_fu": 12.21, "raw_formation_energy_mev_per_atom": 2227.2, "e_above_lowest_polymorph_kj_per_mol_atoms": 146.1, "cell": [[5.0067, 0.0000, 0.0000], [0.0000, 5.0067, 0.0000], [0.0000, 0.0000, 5.0067]], "species": ["K", "Rh", "Rh", "Rh", "Cl"], "fractional_positions": [[0.0000, 0.0000, 0.0000], [0.0000, 0.0000, 0.5000], [0.0000, 0.5000, 0.0000], [0.5000, 0.0000, 0.0000], [0.5000, 0.5000, 0.5000]]}

{"formula": "ZnCrPb2", "functional": "PBE", "state": "relaxed", "formation_enthalpy_0k_ev_per_fu": 2.18, "n_ef_per_ev_fu": 2.22, "cell": [[-3.9248, 3.9248, 3.2384], [3.9248, -3.9248, 3.2384], [3.9248, 3.9248, -3.2384]], "species": ["Zn", "Zn", "Cr", "Cr", "Pb", "Pb", "Pb", "Pb"], "fractional_positions": [[0.0000, 0.0000, 0.0000], [0.7500, 0.2500, 0.5000], [0.2500, 0.7500, 0.5000], [0.5000, 0.5000, 0.0000], [0.1146, 0.1250, 0.4896], [0.3750, 0.8854, 0.0104], [0.6354, 0.6250, 0.5104], [0.8750, 0.3646, 0.9896]]}

{"formula": "KReC2", "functional": "PBE", "state": "relaxed", "formation_enthalpy_0k_ev_per_fu": 2.02, "n_ef_per_ev_fu": 0.71, "e_above_lowest_polymorph_kj_per_mol_atoms": 0.0, "cell": [[-3.1120, 3.1120, 4.3725], [3.1120, -3.1120, 4.3725], [3.1120, 3.1120, -4.3725]], "species": ["K", "K", "Re", "Re", "C", "C", "C", "C"], "fractional_positions": [[0.3750, 0.6250, 0.7500], [0.6250, 0.3750, 0.2500], [0.1250, 0.8750, 0.2500], [0.8750, 0.1250, 0.7500], [0.0000, 0.0000, 0.0000], [0.0000, 0.0000, 0.5000], [0.0000, 0.5000, 0.0000], [0.5000, 0.0000, 0.5000]]}

{"formula": "Al2CuCl", "functional": "PBE", "state": "relaxed", "n_ef_per_ev_fu": 1.26, "raw_formation_energy_mev_per_atom": 29.7, "e_above_lowest_polymorph_kj_per_mol_atoms": 24.7, "cell": [[3.4747, -3.4850, 0.0000], [3.4747, 3.4850, 0.0000], [0.0000, 0.0000, 2.8073]], "species": ["Al", "Al", "Cu", "Cl"], "fractional_positions": [[0.0000, 0.5000, 0.0000], [0.5000, 0.0000, 0.0000], [0.0000, 0.0000, 0.5000], [0.5000, 0.5000, 0.5000]]}

{"formula": "In4Cu", "functional": "PBE", "state": "relaxed", "formation_enthalpy_0k_ev_per_fu": 0.56, "n_ef_per_ev_fu": 3.69, "e_above_lowest_polymorph_kj_per_mol_atoms": 7.8, "cell": [[-3.1607, 3.1607, 3.1607], [3.1607, -3.1607, 3.1607], [3.1607, 3.1607, -3.1607]], "species": ["In", "In", "In", "In", "Cu"], "fractional_positions": [[0.0000, 0.0000, 0.5000], [0.0000, 0.5000, 0.0000], [0.5000, 0.0000, 0.0000], [0.5000, 0.5000, 0.5000], [0.0000, 0.0000, 0.0000]]}

{"formula": "KPu2CuBr8", "functional": "PBE", "state": "relaxed", "n_ef_per_ev_fu": 22.05, "raw_formation_energy_mev_per_atom": -1319.6, "cell": [[7.5048, 0.0000, 0.0000], [3.3769, 7.5804, 0.0000], [0.4127, 1.3454, 8.5532]], "species": ["K", "Pu", "Pu", "Cu", "Br", "Br", "Br", "Br", "Br", "Br", "Br", "Br"], "fractional_positions": [[0.0000, 0.0000, 0.0000], [0.0264, 0.4734, 0.2576], [0.9736, 0.5266, 0.7424], [0.0000, 0.0000, 0.5000], [0.1712, 0.7774, 0.6949], [0.2277, 0.2817, 0.0008], [0.2311, 0.2783, 0.5497], [0.2706, 0.6509, 0.2264], [0.7294, 0.3491, 0.7736], [0.7689, 0.7217, 0.4503], [0.7723, 0.7183, 0.9992], [0.8288, 0.2226, 0.3051]]}

{"formula": "RuAuCl2", "functional": "PBE", "state": "relaxed", "n_ef_per_ev_fu": 3.24, "raw_formation_energy_mev_per_atom": 275.1, "e_above_lowest_polymorph_kj_per_mol_atoms": 22.2, "cell": [[1.8952, -2.6755, 0.0000], [1.8952, 2.6755, 0.0000], [0.0000, 0.0000, 8.5073]], "species": ["Ru", "Au", "Cl", "Cl"], "fractional_positions": [[0.0000, 0.0000, 0.0000], [0.5000, 0.5000, 0.7833], [0.0000, 0.0000, 0.5830], [0.5000, 0.5000, 0.1829]]}

{"formula": "Pa2As2RhN2", "functional": "PBE", "state": "relaxed", "n_ef_per_ev_fu": 5.70, "raw_formation_energy_mev_per_atom": -572.3, "cell": [[3.9145, 0.0000, 0.0000], [-1.9573, 3.3901, 0.0000], [0.0000, 0.0000, 9.7906]], "species": ["Pa", "Pa", "As", "As", "Rh", "N", "N"], "fractional_positions": [[0.3333, 0.6667, 0.3116], [0.6667, 0.3333, 0.6884], [0.0000, 0.0000, 0.1226], [0.0000, 0.0000, 0.8774], [0.0000, 0.0000, 0.5000], [0.3333, 0.6667, 0.6180], [0.6667, 0.3333, 0.3820]]}